VASP calculation (PBE+U) on an optimized crystal structure of Mn2SiF.

Cell and atoms, written as POSCAR:
```
Mn2SiF
1.0
-4.4512 -1.8882 4.1474
4.4422 -3.0907 3.3606
0.5334 0.2845 5.5942
Mn F Si
4 2 2
Direct
0.1720 0.6250 0.2500 Mn
0.8750 0.8280 0.7500 Mn
0.3750 0.4220 0.7500 Mn
0.5780 0.1250 0.2500 Mn
0.2500 0.7500 0.5000 F
0.5000 0.5000 0.0000 F
0.7500 0.2500 0.5000 Si
0.0000 0.0000 0.0000 Si
```

Values from the calculation:
symmetry: No. 122
calculated total energy: -24.00 eV/f.u.
relative energy among the computed polymorphs: 0 meV per atom